Entry 1:
A relaxed Na2Sr2Ca3 crystal. Source: Alexandria via LeMat-Bulk, functional PBE.

Cell and atoms, written as POSCAR:
```
Na2Sr2Ca3
1.0
-3.637 1.073 -1.404
-2.387 -1.670 4.907
2.889 13.136 2.558
Sr Na Ca
2 2 3
Direct
0.000 0.850 0.700 Sr
0.000 0.150 0.300 Sr
0.500 0.715 0.430 Na
0.500 0.285 0.570 Na
0.500 0.429 0.859 Ca
0.500 0.571 0.141 Ca
0.000 0.000 0.000 Ca
```

Values from the calculation:
* calculated density: 1.84 g/cm3
* ΔH_f (0 K): 0.026 eV per atom
* D(E_F): 0.92 states/eV/atom

Entry 2:
A relaxed NaSr6Ca5 crystal. Source: Alexandria via LeMat-Bulk, functional PBE.

Cell and atoms, written as POSCAR:
```
NaSr6Ca5
1.0
13.371 -1.705 0.000
2.122 6.755 0.000
1.061 3.378 6.135
Sr Ca Na
6 5 1
Direct
0.750 0.084 0.333 Sr
0.751 0.751 0.000 Sr
0.249 0.249 0.000 Sr
0.250 0.584 0.333 Sr
0.250 0.916 0.667 Sr
0.750 0.416 0.667 Sr
0.500 0.166 0.668 Ca
0.500 0.500 0.000 Ca
0.000 0.667 0.666 Ca
0.500 0.834 0.332 Ca
0.000 0.333 0.334 Ca
0.000 0.000 0.000 Na
```

Values from the calculation:
* calculated density: 2.16 g/cm3
* energy above the most stable polymorph in this dataset: 16 meV/atom
* ΔH_f (0 K): 0.043 eV per atom
* D(E_F): 1.24 states/eV/atom

Entry 3:
A relaxed NaSr6Ca3 crystal. Source: Alexandria via LeMat-Bulk, functional PBE.

Cell and atoms, written as POSCAR:
```
NaSr6Ca3
1.0
-4.341 1.175 3.634
-8.338 0.030 -9.970
-1.969 -12.808 1.789
Sr Ca Na
12 6 2
Direct
0.250 0.646 0.697 Sr
0.250 0.053 0.899 Sr
0.750 0.153 0.698 Sr
0.750 0.947 0.101 Sr
0.750 0.848 0.801 Sr
0.250 0.152 0.199 Sr
0.250 0.847 0.302 Sr
0.250 0.452 0.100 Sr
0.750 0.548 0.900 Sr
0.750 0.354 0.303 Sr
0.750 0.748 0.497 Sr
0.250 0.252 0.503 Sr
0.250 0.350 0.800 Ca
0.750 0.451 0.601 Ca
0.750 0.252 0.995 Ca
0.750 0.650 0.200 Ca
0.250 0.748 0.005 Ca
0.250 0.549 0.399 Ca
0.750 0.050 0.401 Na
0.250 0.950 0.599 Na
```

Values from the calculation:
* calculated density: 2.26 g/cm3
* energy above the most stable polymorph in this dataset: 0 meV/atom
* ΔH_f (0 K): 0.022 eV per atom
* D(E_F): 1.04 states/eV/atom

Entry 4:
A relaxed Na2Sr5Ca2 crystal. Source: Alexandria via LeMat-Bulk, functional PBE.

Cell and atoms, written as POSCAR:
```
Na2Sr5Ca2
1.0
-4.132 2.620 -4.206
-3.623 -10.365 2.052
0.621 8.706 4.812
Sr Ca Na
5 2 2
Direct
0.443 0.887 0.206 Sr
0.118 0.235 0.571 Sr
0.882 0.765 0.429 Sr
0.557 0.113 0.794 Sr
0.000 0.000 0.000 Sr
0.775 0.550 0.891 Ca
0.225 0.450 0.109 Ca
0.318 0.637 0.627 Na
0.682 0.363 0.373 Na
```

Values from the calculation:
* calculated density: 2.16 g/cm3
* energy above the most stable polymorph in this dataset: 0 meV/atom
* ΔH_f (0 K): 0.033 eV per atom
* D(E_F): 0.85 states/eV/atom

Entry 5:
A relaxed Na3Sr4Ca crystal. Source: Alexandria via LeMat-Bulk, functional PBE.

Cell and atoms, written as POSCAR:
```
Na3Sr4Ca
1.0
-2.193 0.650 -3.893
-4.193 -4.597 1.594
-7.467 8.777 5.673
Na Sr Ca
3 4 1
Direct
0.500 0.000 0.245 Na
0.500 0.500 0.500 Na
0.500 0.000 0.755 Na
0.000 0.000 0.000 Sr
0.000 0.500 0.256 Sr
0.000 0.500 0.744 Sr
0.000 0.000 0.500 Sr
0.500 0.500 0.000 Ca
```

Values from the calculation:
* calculated density: 2.05 g/cm3
* energy above the most stable polymorph in this dataset: 0 meV/atom
* ΔH_f (0 K): 0.025 eV per atom
* D(E_F): 0.80 states/eV/atom

Entry 6:
A relaxed NaSr9Ca2 crystal. Source: Alexandria via LeMat-Bulk, functional PBE.

Cell and atoms, written as POSCAR:
```
NaSr9Ca2
1.0
-3.795 3.024 3.273
2.831 -1.683 4.838
10.541 14.462 -1.137
Ca Sr Na
2 9 1
Direct
0.000 0.000 0.334 Ca
0.000 0.000 0.666 Ca
0.500 0.000 0.500 Sr
0.500 0.500 0.333 Sr
0.500 0.000 0.168 Sr
0.500 0.000 0.832 Sr
0.500 0.500 0.667 Sr
0.000 0.500 0.168 Sr
0.500 0.500 0.000 Sr
0.000 0.500 0.832 Sr
0.000 0.500 0.500 Sr
0.000 0.000 0.000 Na
```

Values from the calculation:
* calculated density: 2.41 g/cm3
* ΔH_f (0 K): 0.020 eV per atom
* D(E_F): 1.18 states/eV/atom

Entry 7:
A relaxed NaSr6Ca5 crystal. Source: Alexandria via LeMat-Bulk, functional PBE.

Cell and atoms, written as POSCAR:
```
NaSr6Ca5
1.0
-3.176 -0.364 4.884
8.962 -5.789 1.896
2.702 10.450 -0.965
Ca Sr Na
5 6 1
Direct
0.000 0.339 0.661 Ca
0.500 0.825 0.175 Ca
0.500 0.500 0.500 Ca
0.000 0.661 0.339 Ca
0.500 0.175 0.825 Ca
0.245 0.079 0.412 Sr
0.260 0.760 0.760 Sr
0.740 0.240 0.240 Sr
0.755 0.588 0.921 Sr
0.245 0.412 0.079 Sr
0.755 0.921 0.588 Sr
0.000 0.000 0.000 Na
```

Values from the calculation:
* calculated density: 2.17 g/cm3
* energy above the most stable polymorph in this dataset: 0 meV/atom
* ΔH_f (0 K): 0.027 eV per atom
* D(E_F): 1.24 states/eV/atom

Entry 8:
A relaxed NaSr6Ca2 crystal. Source: Alexandria via LeMat-Bulk, functional PBE.

Cell and atoms, written as POSCAR:
```
NaSr6Ca2
1.0
3.771 0.000 1.247
0.420 10.532 5.055
-1.776 1.379 11.696
Sr Na Ca
6 1 2
Direct
0.337 0.843 0.483 Sr
0.822 0.526 0.829 Sr
0.663 0.157 0.517 Sr
0.998 0.174 0.830 Sr
0.002 0.826 0.170 Sr
0.178 0.474 0.171 Sr
0.000 0.500 0.500 Na
0.832 0.165 0.171 Ca
0.168 0.835 0.829 Ca
```

Values from the calculation:
* calculated density: 2.26 g/cm3
* energy above the most stable polymorph in this dataset: 83 meV/atom
* ΔH_f (0 K): 0.105 eV per atom
* D(E_F): 1.01 states/eV/atom